No. 1
SmEuDyHg: optimized geometry, PBE.

E = -20.10 eV for the cell shown
E_form = -0.0502 eV per atom
Space group = F-43m, No. 216

Cell: 5.496 5.496 5.496 Å, 60.00 60.00 60.00°
Element x y z (fractional)
Sm (0.000, 0.000, 0.000)
Eu (0.750, 0.750, 0.750)
Dy (0.500, 0.500, 0.500)
Hg (0.250, 0.250, 0.250)

No. 2
EuDySnHg: optimized geometry, PBE.

E = -21.50 eV for the cell shown
E_form = -0.5792 eV per atom
Space group = F-43m, No. 216

Cell: 5.403 5.403 5.403 Å, 60.00 60.00 60.00°
Element x y z (fractional)
Eu (0.000, 0.000, 0.000)
Dy (0.500, 0.500, 0.500)
Sn (0.250, 0.250, 0.250)
Hg (0.750, 0.750, 0.750)